(1)
Entry from OQMD: crystalline TaTcNiSb at its relaxed geometry (PBE-GGA).

Cell: 6.381 6.381 6.381 Å, 90.00 90.00 90.00°
Atoms (fractional coordinates):
Ta: 0.000 0.000 0.000
Ta: 0.000 0.500 0.500
Ta: 0.500 0.000 0.500
Ta: 0.500 0.500 0.000
Tc: 0.250 0.250 0.750
Tc: 0.250 0.750 0.250
Tc: 0.750 0.250 0.250
Tc: 0.750 0.750 0.750
Ni: 0.000 0.000 0.500
Ni: 0.000 0.500 0.000
Ni: 0.500 0.000 0.000
Ni: 0.500 0.500 0.500
Sb: 0.250 0.250 0.250
Sb: 0.250 0.750 0.750
Sb: 0.750 0.250 0.750
Sb: 0.750 0.750 0.250

Values from the calculation:
excess energy over the best structure of this formula in the dataset: 266.4 meV/atom
magnetization: 0.133 μB per atom

=====

(2)
Entry from OQMD: crystalline TaTcNiSb at its relaxed geometry (PBE-GGA).

Cell: 6.343 6.343 6.343 Å, 90.00 90.00 90.00°
Atoms (fractional coordinates):
Ta: 0.000 0.000 0.000
Ta: 0.000 0.500 0.500
Ta: 0.500 0.000 0.500
Ta: 0.500 0.500 0.000
Tc: 0.250 0.250 0.250
Tc: 0.250 0.750 0.750
Tc: 0.750 0.250 0.750
Tc: 0.750 0.750 0.250
Ni: 0.250 0.250 0.750
Ni: 0.250 0.750 0.250
Ni: 0.750 0.250 0.250
Ni: 0.750 0.750 0.750
Sb: 0.000 0.000 0.500
Sb: 0.000 0.500 0.000
Sb: 0.500 0.000 0.000
Sb: 0.500 0.500 0.500

Values from the calculation:
excess energy over the best structure of this formula in the dataset: 0.0 meV/atom
magnetization: 0.211 μB per atom

=====

(3)
Entry from OQMD: crystalline TaNiSbW at its relaxed geometry (PBE-GGA).

Cell: 6.440 6.440 6.440 Å, 90.00 90.00 90.00°
Atoms (fractional coordinates):
Ta: 0.000 0.000 0.000
Ta: 0.000 0.500 0.500
Ta: 0.500 0.000 0.500
Ta: 0.500 0.500 0.000
Ni: 0.000 0.000 0.500
Ni: 0.000 0.500 0.000
Ni: 0.500 0.000 0.000
Ni: 0.500 0.500 0.500
Sb: 0.250 0.250 0.250
Sb: 0.250 0.750 0.750
Sb: 0.750 0.250 0.750
Sb: 0.750 0.750 0.250
W: 0.250 0.250 0.750
W: 0.250 0.750 0.250
W: 0.750 0.250 0.250
W: 0.750 0.750 0.750

Values from the calculation:
final energy: -8.175 eV per atom
magnetization: 0.002 μB per atom

=====

(4)
Entry from OQMD: crystalline YTaNiSb at its relaxed geometry (PBE-GGA).

Cell: 6.765 6.765 6.765 Å, 90.00 90.00 90.00°
Atoms (fractional coordinates):
Y: 0.000 0.000 0.000
Y: 0.000 0.500 0.500
Y: 0.500 0.000 0.500
Y: 0.500 0.500 0.000
Ta: 0.250 0.250 0.250
Ta: 0.250 0.750 0.750
Ta: 0.750 0.250 0.750
Ta: 0.750 0.750 0.250
Ni: 0.250 0.250 0.750
Ni: 0.250 0.750 0.250
Ni: 0.750 0.250 0.250
Ni: 0.750 0.750 0.750
Sb: 0.000 0.000 0.500
Sb: 0.000 0.500 0.000
Sb: 0.500 0.000 0.000
Sb: 0.500 0.500 0.500

Values from the calculation:
final energy: -6.723 eV per atom
magnetization: 0.004 μB per atom

=====

(5)
Entry from OQMD: crystalline TaZnNiSb at its relaxed geometry (PBE-GGA).

Cell: 6.419 6.419 6.419 Å, 90.00 90.00 90.00°
Atoms (fractional coordinates):
Ta: 0.000 0.000 0.000
Ta: 0.000 0.500 0.500
Ta: 0.500 0.000 0.500
Ta: 0.500 0.500 0.000
Zn: 0.250 0.250 0.750
Zn: 0.250 0.750 0.250
Zn: 0.750 0.250 0.250
Zn: 0.750 0.750 0.750
Ni: 0.000 0.000 0.500
Ni: 0.000 0.500 0.000
Ni: 0.500 0.000 0.000
Ni: 0.500 0.500 0.500
Sb: 0.250 0.250 0.250
Sb: 0.250 0.750 0.750
Sb: 0.750 0.250 0.750
Sb: 0.750 0.750 0.250

Values from the calculation:
final energy: -5.425 eV per atom
magnetization: 0.062 μB per atom

=====

(6)
Entry from OQMD: crystalline TbNiSb at its relaxed geometry (PBE-GGA).

Cell: 7.200 7.200 4.116 Å, 90.00 90.00 120.00°
Atoms (fractional coordinates):
Tb: 0.000 0.611 0.000
Tb: 0.389 0.389 0.000
Tb: 0.611 0.000 0.000
Ni: 0.000 0.000 0.000
Ni: 0.333 0.667 0.500
Ni: 0.667 0.333 0.500
Sb: 0.000 0.277 0.500
Sb: 0.277 0.000 0.500
Sb: 0.723 0.723 0.500

Values from the calculation:
final energy: -5.516 eV per atom
magnetization: 0.000 μB per atom

=====

(7)
Entry from OQMD: crystalline TbNiSb at its relaxed geometry (PBE-GGA).

Cell: 7.047 7.047 4.326 Å, 90.00 90.00 120.00°
Atoms (fractional coordinates):
Tb: 0.000 0.576 0.000
Tb: 0.424 0.424 0.000
Tb: 0.576 0.000 0.000
Ni: 0.000 0.247 0.500
Ni: 0.247 0.000 0.500
Ni: 0.753 0.753 0.500
Sb: 0.000 0.000 0.000
Sb: 0.333 0.667 0.500
Sb: 0.667 0.333 0.500

Values from the calculation:
final energy: -5.480 eV per atom
magnetization: 0.000 μB per atom

=====

(8)
Entry from OQMD: crystalline TbNiSb2 at its relaxed geometry (PBE-GGA).

Cell: 4.358 4.358 9.408 Å, 90.00 90.00 90.00°
Atoms (fractional coordinates):
Tb: 0.250 0.250 0.238
Tb: 0.750 0.750 0.762
Ni: 0.250 0.750 0.000
Ni: 0.750 0.250 0.000
Sb: 0.250 0.250 0.858
Sb: 0.250 0.750 0.500
Sb: 0.750 0.250 0.500
Sb: 0.750 0.750 0.142

Values from the calculation:
final energy: -5.314 eV per atom
magnetization: 0.001 μB per atom

=====

(9)
Entry from OQMD: crystalline TbNiSb at its relaxed geometry (PBE-GGA).

Cell: 8.079 8.079 3.686 Å, 90.00 90.00 120.00°
Atoms (fractional coordinates):
Tb: 0.000 0.285 0.000
Tb: 0.285 0.000 0.000
Tb: 0.715 0.715 0.000
Ni: 0.000 0.671 0.500
Ni: 0.329 0.329 0.500
Ni: 0.671 0.000 0.500
Sb: 0.000 0.000 0.500
Sb: 0.333 0.667 0.000
Sb: 0.667 0.333 0.000

Values from the calculation:
final energy: -4.962 eV per atom
magnetization: 0.000 μB per atom

=====

(10)
Entry from OQMD: crystalline TcNiSbW at its relaxed geometry (PBE-GGA).

Cell: 6.268 6.268 6.268 Å, 90.00 90.00 90.00°
Atoms (fractional coordinates):
Tc: 0.000 0.000 0.000
Tc: 0.000 0.500 0.500
Tc: 0.500 0.000 0.500
Tc: 0.500 0.500 0.000
Ni: 0.000 0.000 0.500
Ni: 0.000 0.500 0.000
Ni: 0.500 0.000 0.000
Ni: 0.500 0.500 0.500
Sb: 0.250 0.250 0.250
Sb: 0.250 0.750 0.750
Sb: 0.750 0.250 0.750
Sb: 0.750 0.750 0.250
W: 0.250 0.250 0.750
W: 0.250 0.750 0.250
W: 0.750 0.250 0.250
W: 0.750 0.750 0.750

Values from the calculation:
final energy: -7.937 eV per atom
magnetization: 0.001 μB per atom

=====

(11)
Entry from OQMD: crystalline YTcNiSb at its relaxed geometry (PBE-GGA).

Cell: 6.573 6.573 6.573 Å, 90.00 90.00 90.00°
Atoms (fractional coordinates):
Y: 0.000 0.000 0.000
Y: 0.000 0.500 0.500
Y: 0.500 0.000 0.500
Y: 0.500 0.500 0.000
Tc: 0.250 0.250 0.250
Tc: 0.250 0.750 0.750
Tc: 0.750 0.250 0.750
Tc: 0.750 0.750 0.250
Ni: 0.250 0.250 0.750
Ni: 0.250 0.750 0.250
Ni: 0.750 0.250 0.250
Ni: 0.750 0.750 0.750
Sb: 0.000 0.000 0.500
Sb: 0.000 0.500 0.000
Sb: 0.500 0.000 0.000
Sb: 0.500 0.500 0.500

Values from the calculation:
final energy: -6.774 eV per atom
magnetization: 0.041 μB per atom

=====

(12)
Entry from OQMD: crystalline Ni2SbTe at its relaxed geometry (PBE-GGA).

Cell: 3.992 3.992 5.218 Å, 90.00 90.00 120.00°
Atoms (fractional coordinates):
Ni: 0.000 0.000 0.248
Ni: 0.000 0.000 0.752
Sb: 0.667 0.333 0.000
Te: 0.333 0.667 0.500

Values from the calculation:
final energy: -4.839 eV per atom
magnetization: 0.001 μB per atom